No. 1
LaMg2W | PBE-GGA | optimized geometry

The structure in CIF format:
```
data_LaMg2W
_cell_length_a 3.0420
_cell_length_b 3.0420
_cell_length_c 33.1013
_cell_angle_alpha 90.00
_cell_angle_beta 90.00
_cell_angle_gamma 120.00
_space_group_name_H-M_alt 'R -3 m'
_space_group_IT_number 166
_space_group_name_Hall '-R 3 2"'
loop_
_atom_site_label
_atom_site_type_symbol
_atom_site_fract_x
_atom_site_fract_y
_atom_site_fract_z
La1 La 0.0000 0.0000 0.0000
Mg1 Mg 0.0000 0.0000 0.2385
W1 W 0.0000 0.0000 0.5000
```

Summary:
DOS(E_F) in states/eV/atom: 0.73
Energy of formation in eV/atom: 0.49
Energy above the lowest structure with this stoichiometry in kcal/mol of atoms: 2.205



No. 2
BeS3I | PBE-GGA | optimized geometry

The structure in CIF format:
```
data_BeS3I
_cell_length_a 4.450
_cell_length_b 4.450
_cell_length_c 4.450
_cell_angle_alpha 90.00
_cell_angle_beta 90.00
_cell_angle_gamma 90.00
_space_group_name_H-M_alt 'P m -3 m'
_space_group_IT_number 221
_space_group_name_Hall '-P 4 2 3'
loop_
_atom_site_label
_atom_site_type_symbol
_atom_site_fract_x
_atom_site_fract_y
_atom_site_fract_z
Be1 Be 0.000 0.000 0.000
S1 S 0.000 0.000 0.500
I1 I 0.500 0.500 0.500
```

Summary:
DOS(E_F) in states/eV/atom: 0.55
Formation energy from raw total energies in kJ/mol of atoms: 44.83
Energy above the lowest structure with this stoichiometry in kcal/mol of atoms: 0.000



No. 3
SrPm4Nd | PBE-GGA | optimized geometry

The structure in CIF format:
```
data_SrPm4Nd
_cell_length_a 9.751
_cell_length_b 9.751
_cell_length_c 9.751
_cell_angle_alpha 90.00
_cell_angle_beta 90.00
_cell_angle_gamma 90.00
_space_group_name_H-M_alt 'F -4 3 m'
_space_group_IT_number 216
_space_group_name_Hall 'F -4 2 3'
loop_
_atom_site_label
_atom_site_type_symbol
_atom_site_fract_x
_atom_site_fract_y
_atom_site_fract_z
Sr1 Sr 0.000 0.000 0.000
Pm1 Pm 0.122 0.122 0.378
Nd1 Nd 0.250 0.250 0.750
```

Summary:
DOS(E_F) in states/eV/atom: 1.29
Energy of formation in eV/atom: 0.23



No. 4
Ac6Co3Br2 | PBE-GGA | optimized geometry

The structure in CIF format:
```
data_Ac6Co3Br2
_cell_length_a 7.329
_cell_length_b 12.719
_cell_length_c 8.511
_cell_angle_alpha 90.00
_cell_angle_beta 106.75
_cell_angle_gamma 90.00
_space_group_name_H-M_alt 'C 1 2/m 1'
_space_group_IT_number 12
_space_group_name_Hall '-C 2y'
loop_
_atom_site_label
_atom_site_type_symbol
_atom_site_fract_x
_atom_site_fract_y
_atom_site_fract_z
Ac1 Ac 0.231 0.000 0.190
Ac2 Ac 0.231 0.333 0.191
Co1 Co 0.000 0.171 0.000
Co2 Co 0.000 0.500 0.000
Br1 Br 0.000 0.334 0.500
```

Summary:
DOS(E_F) in states/eV/atom: 0.59
Formation energy from raw total energies in kJ/mol of atoms: -50.72



No. 5
La5Cu2Pt | PBE-GGA | optimized geometry

The structure in CIF format:
```
data_La5Cu2Pt
_cell_length_a 7.374
_cell_length_b 7.374
_cell_length_c 16.207
_cell_angle_alpha 90.00
_cell_angle_beta 90.00
_cell_angle_gamma 90.00
_space_group_name_H-M_alt 'I 4/m c m'
_space_group_IT_number 140
_space_group_name_Hall '-I 4 2c'
loop_
_atom_site_label
_atom_site_type_symbol
_atom_site_fract_x
_atom_site_fract_y
_atom_site_fract_z
La1 La 0.000 0.000 0.000
La2 La 0.171 0.329 0.152
Cu1 Cu 0.117 0.383 0.500
Pt1 Pt 0.000 0.000 0.250
```

Summary:
DOS(E_F) in states/eV/atom: 1.48
Energy of formation in eV/atom: -0.36



No. 6
V2FeN | PBE-GGA | optimized geometry

The structure in CIF format:
```
data_V2FeN
_cell_length_a 5.735
_cell_length_b 5.735
_cell_length_c 5.604
_cell_angle_alpha 90.00
_cell_angle_beta 90.00
_cell_angle_gamma 90.00
_space_group_name_H-M_alt 'I -4 2 d'
_space_group_IT_number 122
_space_group_name_Hall 'I -4 2bw'
loop_
_atom_site_label
_atom_site_type_symbol
_atom_site_fract_x
_atom_site_fract_y
_atom_site_fract_z
V1 V 0.187 0.250 0.125
Fe1 Fe 0.000 0.000 0.500
N1 N 0.000 0.000 0.000
```

Summary:
DOS(E_F) in states/eV/atom: 0.93
Formation energy from raw total energies in kJ/mol of atoms: -6.43



Question: DOS(E_F) of number 6 (V2FeN)?
Answer: 0.93 states/eV/atom



What did the first record say?
LaMg2W | PBE-GGA | optimized geometry

The structure in CIF format:
```
data_LaMg2W
_cell_length_a 3.0420
_cell_length_b 3.0420
_cell_length_c 33.1013
_cell_angle_alpha 90.00
_cell_angle_beta 90.00
_cell_angle_gamma 120.00
_space_group_name_H-M_alt 'R -3 m'
_space_group_IT_number 166
_space_group_name_Hall '-R 3 2"'
loop_
_atom_site_label
_atom_site_type_symbol
_atom_site_fract_x
_atom_site_fract_y
_atom_site_fract_z
La1 La 0.0000 0.0000 0.0000
Mg1 Mg 0.0000 0.0000 0.2385
W1 W 0.0000 0.0000 0.5000
```

Summary:
DOS(E_F) in states/eV/atom: 0.73
Energy of formation in eV/atom: 0.49
Energy above the lowest structure with this stoichiometry in kcal/mol of atoms: 2.205